Record 1
# Zn2CdCo2, optimized geometry, DFT PBE-GGA
# ΔE_f ... 0.31 eV/atom
# Energy above the lowest structure with this stoichiometry ... 0.170 eV/atom
# Total energy ... -3.228 eV/atom
data_Zn2CdCo2
_cell_length_a 3.639
_cell_length_b 3.639
_cell_length_c 11.503
_cell_angle_alpha 90.00
_cell_angle_beta 90.00
_cell_angle_gamma 90.00
_symmetry_space_group_name_H-M 'I 4/m m m'
_symmetry_Int_Tables_number 139
_symmetry_space_group_name_Hall '-I 4 2'
loop_
_atom_site_label
_atom_site_type_symbol
_atom_site_fract_x
_atom_site_fract_y
_atom_site_fract_z
Zn1 Zn 0.000 0.500 0.250
Cd1 Cd 0.000 0.000 0.000
Co1 Co 0.000 0.000 0.402


Record 2
# Zn2CdCo, optimized geometry, DFT PBE-GGA
# ΔE_f ... 0.12 eV/atom
# Total energy ... -2.522 eV/atom
data_Zn2CdCo
_cell_length_a 3.906
_cell_length_b 3.906
_cell_length_c 3.883
_cell_angle_alpha 90.00
_cell_angle_beta 90.00
_cell_angle_gamma 90.00
_symmetry_space_group_name_H-M 'P 4/m m m'
_symmetry_Int_Tables_number 123
_symmetry_space_group_name_Hall '-P 4 2'
loop_
_atom_site_label
_atom_site_type_symbol
_atom_site_fract_x
_atom_site_fract_y
_atom_site_fract_z
Zn1 Zn 0.000 0.500 0.000
Cd1 Cd 0.000 0.000 0.500
Co1 Co 0.500 0.500 0.500


Record 3
# Zn2CdCo2, optimized geometry, DFT PBE-GGA
# ΔE_f ... 0.16 eV/atom
# Energy above the lowest structure with this stoichiometry ... 0.028 eV/atom
# Total energy ... -3.370 eV/atom
data_Zn2CdCo2
_cell_length_a 7.090
_cell_length_b 7.090
_cell_length_c 2.775
_cell_angle_alpha 90.00
_cell_angle_beta 90.00
_cell_angle_gamma 90.00
_symmetry_space_group_name_H-M 'P 4/m b m'
_symmetry_Int_Tables_number 127
_symmetry_space_group_name_Hall '-P 4 2ab'
loop_
_atom_site_label
_atom_site_type_symbol
_atom_site_fract_x
_atom_site_fract_y
_atom_site_fract_z
Zn1 Zn 0.128 0.372 0.000
Cd1 Cd 0.000 0.000 0.000
Co1 Co 0.167 0.667 0.500